The following is a PBE-GGA calculation of DyHoMg after structural relaxation, from Alexandria via LeMat-Bulk.

Calculated values
- N(E_F) (states/eV/f.u.) = 4.4
- calculated total energy (eV per atom) = -3.628
- excess energy over the best structure of this formula in the dataset (eV/f.u.) = 0.000
- calculated formation energy (kJ per mole of atoms) = -3.52
- size of the total moment (μB per formula unit) = 0.01

abc: 3.6451 3.6451 6.9533
angles: 105.20 105.20 90.00
Atoms (fractional coordinates):
Mg (0.6659, 0.6659, 0.3318)
Ho (0.0074, 0.0074, 0.0148)
Dy (0.3267, 0.3267, 0.6534)

---

The following is a PBE-GGA calculation of Dy7Ho4Mg after structural relaxation, from Alexandria via LeMat-Bulk.

Calculated values
- N(E_F) (states/eV/f.u.) = 24.6
- calculated total energy (eV per atom) = -4.249
- excess energy over the best structure of this formula in the dataset (eV/f.u.) = 0.000
- calculated formation energy (kJ per mole of atoms) = 9.14
- size of the total moment (μB per formula unit) = 0.00

abc: 5.5586 5.5586 13.8626
angles: 90.00 90.00 120.00
Atoms (fractional coordinates):
Mg (0.0000, 0.0000, 0.5000)
Ho (0.3333, 0.6667, 0.9271)
Ho (0.3333, 0.6667, 0.6824)
Ho (0.6667, 0.3333, 0.0729)
Ho (0.6667, 0.3333, 0.3176)
Dy (0.0000, 0.0000, 0.2665)
Dy (0.6667, 0.3333, 0.5757)
Dy (0.3333, 0.6667, 0.4243)
Dy (0.3333, 0.6667, 0.1735)
Dy (0.6667, 0.3333, 0.8265)
Dy (0.0000, 0.0000, 0.0000)
Dy (0.0000, 0.0000, 0.7335)

---

What did the second record say?
The following is a PBE-GGA calculation of Dy7Ho4Mg after structural relaxation, from Alexandria via LeMat-Bulk.

Calculated values
- N(E_F) (states/eV/f.u.) = 24.6
- calculated total energy (eV per atom) = -4.249
- excess energy over the best structure of this formula in the dataset (eV/f.u.) = 0.000
- calculated formation energy (kJ per mole of atoms) = 9.14
- size of the total moment (μB per formula unit) = 0.00

abc: 5.5586 5.5586 13.8626
angles: 90.00 90.00 120.00
Atoms (fractional coordinates):
Mg (0.0000, 0.0000, 0.5000)
Ho (0.3333, 0.6667, 0.9271)
Ho (0.3333, 0.6667, 0.6824)
Ho (0.6667, 0.3333, 0.0729)
Ho (0.6667, 0.3333, 0.3176)
Dy (0.0000, 0.0000, 0.2665)
Dy (0.6667, 0.3333, 0.5757)
Dy (0.3333, 0.6667, 0.4243)
Dy (0.3333, 0.6667, 0.1735)
Dy (0.6667, 0.3333, 0.8265)
Dy (0.0000, 0.0000, 0.0000)
Dy (0.0000, 0.0000, 0.7335)